1.
This record from Alexandria via LeMat-Bulk describes a relaxed La5Nd6Ho crystal. The functional is PBE-GGA.

Results
* mass density: 6.70 g/cm³
* ΔH_f (0 K): 0.18 eV/f.u.

Geometry as CIF:
```
data_La5Nd6Ho
_space_group_name_H-M_alt 'C 1 2/m 1'
_space_group_IT_number 12
_space_group_name_Hall '-C 2y'
_cell_length_a 6.399
_cell_length_b 11.083
_cell_length_c 12.249
_cell_angle_alpha 90.00
_cell_angle_beta 100.11
_cell_angle_gamma 90.00
loop_
_atom_site_label
_atom_site_fract_x
_atom_site_fract_y
_atom_site_fract_z
La1 0.000 0.000 0.000
La2 0.000 0.167 0.500
La3 0.000 0.334 0.000
Nd1 0.249 0.334 0.748
Nd2 0.249 0.500 0.252
Ho1 0.000 0.500 0.500
```

---

2.
This record from Alexandria via LeMat-Bulk describes a relaxed CePa3 crystal. The functional is PBE-GGA.

Results
* energy above the lowest structure with this stoichiometry: 0.0021 eV/atom
* mass density: 13.65 g/cm³
* ΔH_f (0 K): 0.15 eV/f.u.

Geometry as CIF:
```
data_CePa3
_space_group_name_H-M_alt 'I 4/m m m'
_space_group_IT_number 139
_space_group_name_Hall '-I 4 2'
_cell_length_a 4.642
_cell_length_b 4.642
_cell_length_c 9.411
_cell_angle_alpha 90.00
_cell_angle_beta 90.00
_cell_angle_gamma 90.00
loop_
_atom_site_label
_atom_site_fract_x
_atom_site_fract_y
_atom_site_fract_z
Ce1 0.000 0.000 0.000
Pa1 0.000 0.000 0.500
Pa2 0.000 0.500 0.250
```

---

3.
This record from Alexandria via LeMat-Bulk describes a relaxed Er2Ni12P7 crystal. The functional is PBE-GGA.

Results
* energy above the lowest structure with this stoichiometry: 0.0052 eV/atom
* mass density: 7.98 g/cm³
* ΔH_f (0 K): -16.08 eV/f.u.

Geometry as CIF:
```
data_Er2Ni12P7
_space_group_name_H-M_alt 'P -3'
_space_group_IT_number 147
_space_group_name_Hall '-P 3'
_cell_length_a 9.0567
_cell_length_b 9.0567
_cell_length_c 3.6797
_cell_angle_alpha 90.00
_cell_angle_beta 90.00
_cell_angle_gamma 120.00
loop_
_atom_site_label
_atom_site_fract_x
_atom_site_fract_y
_atom_site_fract_z
Er1 0.3333 0.6667 0.2511
Ni1 0.0576 0.4353 0.7502
Ni2 0.1142 0.2562 0.2452
P1 0.0000 0.0000 0.5000
P2 0.1133 0.7058 0.7507
```

---

4.
This record from Alexandria via LeMat-Bulk describes a relaxed MgCrGaRu crystal. The functional is PBE-GGA.

Results
* mass density: 6.91 g/cm³
* ΔH_f (0 K): -0.04 eV/f.u.

Geometry as CIF:
```
data_MgCrGaRu
_space_group_name_H-M_alt 'F -4 3 m'
_space_group_IT_number 216
_space_group_name_Hall 'F -4 2 3'
_cell_length_a 6.194
_cell_length_b 6.194
_cell_length_c 6.194
_cell_angle_alpha 90.00
_cell_angle_beta 90.00
_cell_angle_gamma 90.00
loop_
_atom_site_label
_atom_site_fract_x
_atom_site_fract_y
_atom_site_fract_z
Mg1 0.000 0.000 0.000
Cr1 0.250 0.250 0.750
Ga1 0.000 0.000 0.500
Ru1 0.250 0.250 0.250
```

---

5.
This record from Alexandria via LeMat-Bulk describes a relaxed NbGa2Pt crystal. The functional is PBE-GGA.

Results
* mass density: 11.10 g/cm³
* ΔH_f (0 K): -1.51 eV/f.u.

Geometry as CIF:
```
data_NbGa2Pt
_space_group_name_H-M_alt 'P 4/m m m'
_space_group_IT_number 123
_space_group_name_Hall '-P 4 2'
_cell_length_a 3.056
_cell_length_b 3.056
_cell_length_c 6.847
_cell_angle_alpha 90.00
_cell_angle_beta 90.00
_cell_angle_gamma 90.00
loop_
_atom_site_label
_atom_site_fract_x
_atom_site_fract_y
_atom_site_fract_z
Nb1 0.000 0.000 0.000
Ga1 0.500 0.500 0.270
Pt1 0.000 0.000 0.500
```

---

6.
This record from Alexandria via LeMat-Bulk describes a relaxed V5GaGe2 crystal. The functional is PBE-GGA.

Results
* mass density: 6.92 g/cm³
* ΔH_f (0 K): -2.11 eV/f.u.

Geometry as CIF:
```
data_V5GaGe2
_space_group_name_H-M_alt 'I 4/m c m'
_space_group_IT_number 140
_space_group_name_Hall '-I 4 2c'
_cell_length_a 6.357
_cell_length_b 6.357
_cell_length_c 11.156
_cell_angle_alpha 90.00
_cell_angle_beta 90.00
_cell_angle_gamma 90.00
loop_
_atom_site_label
_atom_site_fract_x
_atom_site_fract_y
_atom_site_fract_z
V1 0.000 0.000 0.000
V2 0.161 0.339 0.157
Ga1 0.000 0.000 0.250
Ge1 0.139 0.361 0.500
```

---

7.
This record from Alexandria via LeMat-Bulk describes a relaxed MnPBr2 crystal. The functional is PBE-GGA.

Results
* formation energy without anion corrections: 1139 meV/atom
* energy above the lowest structure with this stoichiometry: 1.3515 eV/atom
* mass density: 5.82 g/cm³

Geometry as CIF:
```
data_MnPBr2
_space_group_name_H-M_alt 'F m -3 m'
_space_group_IT_number 225
_space_group_name_Hall '-F 4 2 3'
_cell_length_a 6.547
_cell_length_b 6.547
_cell_length_c 6.547
_cell_angle_alpha 90.00
_cell_angle_beta 90.00
_cell_angle_gamma 90.00
loop_
_atom_site_label
_atom_site_fract_x
_atom_site_fract_y
_atom_site_fract_z
Mn1 0.000 0.000 0.000
P1 0.000 0.000 0.500
Br1 0.250 0.250 0.250
```

---

8.
This record from Alexandria via LeMat-Bulk describes a relaxed MnOsPb crystal. The functional is PBE-GGA.

Results
* energy above the lowest structure with this stoichiometry: 0.1171 eV/atom
* mass density: 13.68 g/cm³
* ΔH_f (0 K): 2.21 eV/f.u.

Geometry as CIF:
```
data_MnOsPb
_space_group_name_H-M_alt 'P 3 m 1'
_space_group_IT_number 156
_space_group_name_Hall 'P 3 -2"'
_cell_length_a 3.0772
_cell_length_b 3.0772
_cell_length_c 6.6972
_cell_angle_alpha 90.00
_cell_angle_beta 90.00
_cell_angle_gamma 120.00
loop_
_atom_site_label
_atom_site_fract_x
_atom_site_fract_y
_atom_site_fract_z
Mn1 0.0000 0.0000 0.0000
Os1 0.6667 0.3333 0.2568
Pb1 0.3333 0.6667 0.6297
```

---

9.
This record from Alexandria via LeMat-Bulk describes a relaxed RbLi3Bi2 crystal. The functional is PBE-GGA.

Results
* mass density: 4.93 g/cm³
* ΔH_f (0 K): -2.36 eV/f.u.

Geometry as CIF:
```
data_RbLi3Bi2
_space_group_name_H-M_alt 'C 1 2/m 1'
_space_group_IT_number 12
_space_group_name_Hall '-C 2y'
_cell_length_a 17.814
_cell_length_b 5.004
_cell_length_c 8.565
_cell_angle_alpha 90.00
_cell_angle_beta 112.29
_cell_angle_gamma 90.00
loop_
_atom_site_label
_atom_site_fract_x
_atom_site_fract_y
_atom_site_fract_z
Rb1 0.163 0.000 0.090
Li1 0.001 0.000 0.667
Li2 0.093 0.500 0.653
Li3 0.192 0.500 0.450
Bi1 0.025 0.500 0.189
Bi2 0.159 0.000 0.610
```

---

10.
This record from Alexandria via LeMat-Bulk describes a relaxed BaAsIrO5 crystal. The functional is PBE-GGA.

Results
* formation energy without anion corrections: -1401 meV/atom
* mass density: 6.82 g/cm³

Geometry as CIF:
```
data_BaAsIrO5
_space_group_name_H-M_alt 'C 1 2/c 1'
_space_group_IT_number 15
_space_group_name_Hall '-C 2yc'
_cell_length_a 7.142
_cell_length_b 9.758
_cell_length_c 7.397
_cell_angle_alpha 90.00
_cell_angle_beta 113.68
_cell_angle_gamma 90.00
loop_
_atom_site_label
_atom_site_fract_x
_atom_site_fract_y
_atom_site_fract_z
Ba1 0.000 0.158 0.250
As1 0.000 0.197 0.750
Ir1 0.000 0.500 0.000
O1 0.000 0.428 0.250
O2 0.095 0.300 0.609
O3 0.191 0.086 0.918
```

---

11.
This record from Alexandria via LeMat-Bulk describes a relaxed SmPuRe crystal. The functional is PBE-GGA.

Results
* energy above the lowest structure with this stoichiometry: 0.0144 eV/atom
* mass density: 13.72 g/cm³
* ΔH_f (0 K): 0.75 eV/f.u.

Geometry as CIF:
```
data_SmPuRe
_space_group_name_H-M_alt 'P n m a'
_space_group_IT_number 62
_space_group_name_Hall '-P 2ac 2n'
_cell_length_a 11.512
_cell_length_b 4.481
_cell_length_c 5.450
_cell_angle_alpha 90.00
_cell_angle_beta 90.00
_cell_angle_gamma 90.00
loop_
_atom_site_label
_atom_site_fract_x
_atom_site_fract_y
_atom_site_fract_z
Sm1 0.225 0.250 0.119
Pu1 0.012 0.750 0.425
Re1 0.035 0.750 0.922
```

---

no.,DOS(E_F) (states/eV per cell)
1,41.6
2,16.5
3,12.3
4,10.6
5,3.2
6,16.7
7,23.9
8,3.2
9,14.5
10,12.5
11,22.3